# CaZr3Fe

CaZr3Fe after structural relaxation (PBE-GGA, Alexandria via LeMat-Bulk).

## Properties
Uncorrected energy, eV/f.u.: -25.4
Energy relative to the lowest polymorph listed for this composition, meV per atom: 1927.5
SG: Pm-3m (221)
ΔH_f (0 K), eV per atom: 2.15
Calculated density, g/cm³: 5.20

Cell and atoms, written as POSCAR:
```
CaZr3Fe
1.0
4.906 0.000 0.000
0.000 4.906 0.000
0.000 0.000 4.906
Zr Ca Fe
3 1 1
direct
0.500 0.000 0.000
0.000 0.000 0.500
0.000 0.500 0.000
0.000 0.000 0.000
0.500 0.500 0.500
```